Entry 1:
Compound: SrLa2Pd2
Source: Alexandria via LeMat-Bulk
Functional: PBE
Structure: optimized geometry

Calculated values
total magnetization	0.00	μB per formula unit
energy relative to the lowest polymorph listed for this composition	136	meV per atom
Fermi-level density of states	12.50	states/eV/cell
symmetry	No. 127

Cell: 8.7830 8.7830 3.5230 Å, 90.00 90.00 90.00°
Last column: nearest neighbours and their distance in Å.
Element x y z (fractional)
Sr (0.0000, 0.0000, 0.0000)  4 La 3.43, 2 Sr 3.52, 8 Pd 3.71
Sr (0.5000, 0.5000, 0.0000)  4 La 3.43, 2 Sr 3.52, 8 Pd 3.71
La (0.1325, 0.3675, 0.0000)  6 Pd 3.03-3.19, 1 La 3.29
La (0.3675, 0.8675, 0.0000)  6 Pd 3.03-3.19, 1 La 3.29
La (0.6325, 0.1325, 0.0000)  6 Pd 3.03-3.19, 1 La 3.29
La (0.8675, 0.6325, 0.0000)  6 Pd 3.03-3.19, 1 La 3.29
Pd (0.1687, 0.6687, 0.5000)  6 La 3.03-3.19
Pd (0.3313, 0.1687, 0.5000)  6 La 3.03-3.19
Pd (0.6687, 0.8313, 0.5000)  6 La 3.03-3.19
Pd (0.8313, 0.3313, 0.5000)  6 La 3.03-3.19

=====

Entry 2:
Compound: KNi2As2
Source: Alexandria via LeMat-Bulk
Functional: PBE
Structure: optimized geometry

Calculated values
total magnetization	0.02	μB per formula unit
Fermi-level density of states	2.90	states/eV/cell
symmetry	No. 123
energy	-4.692	eV/atom

Cell: 3.6380 3.6380 7.5720 Å, 90.00 90.00 90.00°
Last column: nearest neighbours and their distance in Å.
Element x y z (fractional)
K (0.0000, 0.0000, 0.0000)  8 As 3.41, 4 K 3.64
Ni (0.0000, 0.5000, 0.5000)  4 As 2.39, 4 Ni 2.57
Ni (0.5000, 0.0000, 0.5000)  4 As 2.39, 4 Ni 2.57
As (0.5000, 0.5000, 0.2953)  4 Ni 2.39
As (0.5000, 0.5000, 0.7047)  4 Ni 2.39

=====

Entry 3:
Compound: GaRhO4
Source: Alexandria via LeMat-Bulk
Functional: PBE
Structure: optimized geometry

Calculated values
total magnetization	0.00	μB per formula unit
E_form (uncorrected)	-1.06	eV per atom
Fermi-level density of states	5.95	states/eV/cell
symmetry	No. 109

Cell: 5.4994 5.4994 5.4994 Å, 108.33 108.33 111.78°
Last column: nearest neighbours and their distance in Å.
Element x y z (fractional)
Ga (0.0000, 0.0000, 0.0000)  6 O 1.96-2.04
Ga (0.7500, 0.2500, 0.5000)  6 O 1.96-2.04
Rh (0.2373, 0.7373, 0.5000)  6 O 1.96-2.00
Rh (0.4873, 0.4873, 0.0000)  6 O 1.96-2.00
O (0.0465, 0.2425, 0.8040)  2 Ga 1.96, 1 Rh 1.97
O (0.4385, 0.2425, 0.1960)  2 Ga 1.96, 1 Rh 1.97
O (0.4900, 0.1856, 0.6956)  2 Rh 1.96-2.00, 1 Ga 2.04
O (0.4900, 0.7943, 0.3044)  2 Rh 1.96-2.00, 1 Ga 2.04
O (0.5443, 0.7400, 0.8044)  2 Rh 1.96-2.00, 1 Ga 2.04
O (0.9356, 0.7400, 0.1956)  2 Rh 1.96-2.00, 1 Ga 2.04
O (0.9925, 0.2965, 0.3040)  2 Ga 1.96, 1 Rh 1.97
O (0.9925, 0.6885, 0.6960)  2 Ga 1.96, 1 Rh 1.97

=====

Entry 4:
Compound: AlNiCl2
Source: Alexandria via LeMat-Bulk
Functional: PBE
Structure: optimized geometry

Calculated values
total magnetization	0.00	μB per formula unit
energy relative to the lowest polymorph listed for this composition	544	meV per atom
E_form (uncorrected)	-0.03	eV per atom
Fermi-level density of states	2.99	states/eV/cell
symmetry	No. 69

Cell: 4.9532 4.6585 4.6459 Å, 64.33 57.96 57.71°
Last column: nearest neighbours and their distance in Å.
Element x y z (fractional)
Al (0.0000, 0.0000, 0.0000)  4 Cl 2.48
Ni (0.5000, 0.5000, 0.5000)  4 Cl 2.48
Cl (0.0000, 0.5000, 0.5000)  2 Ni 2.48, 2 Al 2.48
Cl (0.5000, 0.0000, 0.0000)  2 Ni 2.48, 2 Al 2.48

=====

Entry 5:
Compound: ClF
Source: Alexandria via LeMat-Bulk
Functional: PBE
Structure: optimized geometry

Calculated values
total magnetization	0.00	μB per formula unit
energy relative to the lowest polymorph listed for this composition	0	meV per atom
E_form (uncorrected)	-0.41	eV per atom
Fermi-level density of states	0.00	states/eV/cell
symmetry	No. 19

Cell: 6.7697 7.0155 7.7888 Å, 90.00 90.00 90.00°
Last column: nearest neighbours and their distance in Å.
Element x y z (fractional)
Cl (0.0936, 0.0511, 0.1842)  1 Cl 2.09, 1 F 2.14
Cl (0.1876, 0.7626, 0.7714)  2 F 1.74-1.94
Cl (0.3124, 0.2374, 0.2714)  2 F 1.74-1.94
Cl (0.4064, 0.9489, 0.6842)  1 Cl 2.09, 1 F 2.14
Cl (0.5936, 0.4489, 0.8158)  1 Cl 2.09, 1 F 2.14
Cl (0.6876, 0.7374, 0.2286)  2 F 1.74-1.94
Cl (0.8124, 0.2626, 0.7286)  2 F 1.74-1.94
Cl (0.9064, 0.5511, 0.3158)  1 Cl 2.09, 1 F 2.14
F (0.0010, 0.8660, 0.6498)  1 Cl 1.74
F (0.1229, 0.3625, 0.4205)  2 Cl 1.94-2.14
F (0.3771, 0.6375, 0.9205)  2 Cl 1.94-2.14
F (0.4990, 0.1340, 0.1498)  1 Cl 1.74
F (0.5010, 0.6340, 0.3502)  1 Cl 1.74
F (0.6229, 0.1375, 0.5795)  2 Cl 1.94-2.14
F (0.8771, 0.8625, 0.0795)  2 Cl 1.94-2.14
F (0.9990, 0.3660, 0.8502)  1 Cl 1.74

=====

Entry 6:
Compound: Ta2Nb3
Source: Alexandria via LeMat-Bulk
Functional: PBE
Structure: optimized geometry

Calculated values
total magnetization	0.00	μB per formula unit
Fermi-level density of states	11.14	states/eV/cell
symmetry	No. 70
energy	-10.655	eV/atom

Cell: 8.5506 7.4741 5.6307 Å, 80.11 59.44 40.45°
Last column: nearest neighbours and their distance in Å.
Element x y z (fractional)
Ta (0.0752, 0.0752, 0.6748)  8 Nb 2.79-3.03, 2 Ta 3.03
Ta (0.3252, 0.3252, 0.9248)  8 Nb 2.79-3.03, 2 Ta 3.03
Ta (0.6748, 0.6748, 0.0752)  8 Nb 2.79-3.03, 2 Ta 3.03
Ta (0.9248, 0.9248, 0.3252)  8 Nb 2.79-3.03, 2 Ta 3.03
Nb (0.1250, 0.1250, 0.1250)  6 Ta 2.79-2.90, 4 Nb 3.03
Nb (0.2750, 0.2750, 0.4750)  5 Ta 2.79-3.03, 5 Nb 2.79-3.03
Nb (0.4750, 0.4750, 0.2750)  5 Ta 2.79-3.03, 5 Nb 2.79-3.03
Nb (0.5250, 0.5250, 0.7250)  5 Ta 2.79-3.03, 5 Nb 2.79-3.03
Nb (0.7250, 0.7250, 0.5250)  5 Ta 2.79-3.03, 5 Nb 2.79-3.03
Nb (0.8750, 0.8750, 0.8750)  6 Ta 2.79-2.90, 4 Nb 3.03

=====

Entry 7:
Compound: Ba3Be2RhO6
Source: Alexandria via LeMat-Bulk
Functional: PBE
Structure: optimized geometry

Calculated values
total magnetization	1.02	μB per formula unit
E_form (uncorrected)	-2.09	eV per atom
Fermi-level density of states	2.05	states/eV/cell
symmetry	No. 164

Cell: 5.6886 5.6886 6.9412 Å, 90.00 90.00 120.00°
Last column: nearest neighbours and their distance in Å.
Element x y z (fractional)
Ba (0.0000, 0.0000, 0.0000)  6 O 2.68
Ba (0.3333, 0.6667, 0.6709)  1 Be 2.76, 9 O 2.86-3.04
Ba (0.6667, 0.3333, 0.3291)  1 Be 2.76, 9 O 2.86-3.04
Be (0.3333, 0.6667, 0.2736)  3 O 1.55
Be (0.6667, 0.3333, 0.7264)  3 O 1.55
Rh (0.0000, 0.0000, 0.5000)  6 O 2.26
O (0.1766, 0.3533, 0.2929)  1 Be 1.55
O (0.1766, 0.8234, 0.2929)  1 Be 1.55
O (0.3533, 0.1766, 0.7071)  1 Be 1.55
O (0.6467, 0.8234, 0.2929)  1 Be 1.55
O (0.8234, 0.1766, 0.7071)  1 Be 1.55
O (0.8234, 0.6467, 0.7071)  1 Be 1.55

=====

Entry 8:
Compound: SrNd6S8
Source: Alexandria via LeMat-Bulk
Functional: PBE
Structure: optimized geometry

Calculated values
total magnetization	0.00	μB per formula unit
energy relative to the lowest polymorph listed for this composition	0	meV per atom
E_form (uncorrected)	-2.04	eV per atom
Fermi-level density of states	3.86	states/eV/cell
symmetry	No. 225

Cell: 8.1501 8.1501 8.1501 Å, 60.00 60.00 60.00°
Last column: nearest neighbours and their distance in Å.
Element x y z (fractional)
Sr (0.0000, 0.0000, 0.0000)  6 S 2.92
Nd (0.0000, 0.0000, 0.5000)  6 S 2.88
Nd (0.0000, 0.5000, 0.0000)  6 S 2.88
Nd (0.0000, 0.5000, 0.5000)  6 S 2.88
Nd (0.5000, 0.0000, 0.0000)  6 S 2.88
Nd (0.5000, 0.0000, 0.5000)  6 S 2.88
Nd (0.5000, 0.5000, 0.0000)  6 S 2.88
S (0.2500, 0.2500, 0.2500)  6 Nd 2.88
S (0.2532, 0.2532, 0.7468)  4 Nd 2.88, 1 Sr 2.92
S (0.2532, 0.7468, 0.2532)  4 Nd 2.88, 1 Sr 2.92
S (0.2532, 0.7468, 0.7468)  4 Nd 2.88, 1 Sr 2.92
S (0.7468, 0.2532, 0.2532)  4 Nd 2.88, 1 Sr 2.92
S (0.7468, 0.2532, 0.7468)  4 Nd 2.88, 1 Sr 2.92
S (0.7468, 0.7468, 0.2532)  4 Nd 2.88, 1 Sr 2.92
S (0.7500, 0.7500, 0.7500)  6 Nd 2.88

=====

Entry 9:
Compound: Cu2SbOs
Source: Alexandria via LeMat-Bulk
Functional: PBE
Structure: optimized geometry

Calculated values
total magnetization	0.00	μB per formula unit
E_form (uncorrected)	0.31	eV per atom
Fermi-level density of states	1.62	states/eV/cell
symmetry	No. 99

Cell: 3.2964 3.2964 5.6089 Å, 90.00 90.00 90.00°
Last column: nearest neighbours and their distance in Å.
Element x y z (fractional)
Cu (0.0000, 0.0000, 0.0000)  4 Cu 2.57, 1 Os 2.60, 4 Sb 2.85
Cu (0.5000, 0.5000, 0.1923)  4 Cu 2.57, 1 Sb 2.71, 4 Os 2.78
Sb (0.5000, 0.5000, 0.7085)  4 Os 2.70, 6 Cu 2.71-2.90
Os (0.0000, 0.0000, 0.4638)  5 Cu 2.60-2.78, 4 Sb 2.70

=====

Entry 10:
Compound: Sr2LiNb2
Source: Alexandria via LeMat-Bulk
Functional: PBE
Structure: optimized geometry

Calculated values
total magnetization	0.00	μB per formula unit
energy relative to the lowest polymorph listed for this composition	258	meV per atom
Fermi-level density of states	10.30	states/eV/cell
symmetry	No. 127

Cell: 9.7695 9.7695 3.5309 Å, 90.00 90.00 90.00°
Last column: nearest neighbours and their distance in Å.
Element x y z (fractional)
Sr (0.2038, 0.2962, 0.0000)  6 Nb 3.47-3.50, 2 Li 3.51, 2 Sr 3.53
Sr (0.2962, 0.7962, 0.0000)  6 Nb 3.47-3.50, 2 Li 3.51, 2 Sr 3.53
Sr (0.7038, 0.2038, 0.0000)  6 Nb 3.47-3.50, 2 Li 3.51, 2 Sr 3.53
Sr (0.7962, 0.7038, 0.0000)  6 Nb 3.47-3.50, 2 Li 3.51, 2 Sr 3.53
Li (0.0000, 0.0000, 0.0000)  4 Sr 3.51, 2 Li 3.53
Li (0.5000, 0.5000, 0.0000)  4 Sr 3.51, 2 Li 3.53
Nb (0.0802, 0.5802, 0.5000)  1 Nb 2.22
Nb (0.4198, 0.0802, 0.5000)  1 Nb 2.22
Nb (0.5802, 0.9198, 0.5000)  1 Nb 2.22
Nb (0.9198, 0.4198, 0.5000)  1 Nb 2.22

=====

Entry 11:
Compound: Pa2SnTe6
Source: Alexandria via LeMat-Bulk
Functional: PBE
Structure: optimized geometry

Calculated values
total magnetization	0.27	μB per formula unit
E_form (uncorrected)	-0.59	eV per atom
Fermi-level density of states	4.20	states/eV/cell
symmetry	No. 14

Cell: 7.3284 7.5923 12.1604 Å, 90.00 117.19 90.00°
Last column: nearest neighbours and their distance in Å.
Element x y z (fractional)
Pa (0.1639, 0.1274, 0.2182)  7 Te 2.99-3.28
Pa (0.1639, 0.3726, 0.7182)  7 Te 2.99-3.28
Pa (0.8361, 0.6274, 0.2818)  7 Te 2.99-3.28
Pa (0.8361, 0.8726, 0.7818)  7 Te 2.99-3.28
Sn (0.5000, 0.0000, 0.0000)  6 Te 3.07-3.16
Sn (0.5000, 0.5000, 0.5000)  6 Te 3.07-3.16
Te (0.0929, 0.1880, 0.9342)  1 Sn 3.07, 3 Pa 3.09-3.28
Te (0.0929, 0.3120, 0.4342)  1 Sn 3.07, 3 Pa 3.09-3.28
Te (0.2248, 0.6582, 0.9116)  2 Pa 3.02-3.08, 1 Sn 3.16
Te (0.2248, 0.8418, 0.4116)  2 Pa 3.02-3.08, 1 Sn 3.16
Te (0.4413, 0.0718, 0.7377)  2 Pa 2.99-3.09, 1 Sn 3.07
Te (0.4413, 0.4282, 0.2377)  2 Pa 2.99-3.09, 1 Sn 3.07
Te (0.5587, 0.5718, 0.7623)  2 Pa 2.99-3.09, 1 Sn 3.07
Te (0.5587, 0.9282, 0.2623)  2 Pa 2.99-3.09, 1 Sn 3.07
Te (0.7752, 0.1582, 0.5884)  2 Pa 3.02-3.08, 1 Sn 3.16
Te (0.7752, 0.3418, 0.0884)  2 Pa 3.02-3.08, 1 Sn 3.16
Te (0.9071, 0.6880, 0.5658)  1 Sn 3.07, 3 Pa 3.09-3.28
Te (0.9071, 0.8120, 0.0658)  1 Sn 3.07, 3 Pa 3.09-3.28

=====

Entry 12:
Compound: SnH2Ir2
Source: Alexandria via LeMat-Bulk
Functional: PBE
Structure: optimized geometry

Calculated values
total magnetization	0.00	μB per formula unit
energy relative to the lowest polymorph listed for this composition	215	meV per atom
Fermi-level density of states	1.66	states/eV/cell
symmetry	No. 127

Cell: 6.2337 6.2337 2.9617 Å, 90.00 90.00 90.00°
Last column: nearest neighbours and their distance in Å.
Element x y z (fractional)
Sn (0.0000, 0.0000, 0.0000)  4 H 2.76, 8 Ir 2.78, 2 Sn 2.96
Sn (0.5000, 0.5000, 0.0000)  4 H 2.76, 8 Ir 2.78, 2 Sn 2.96
H (0.0620, 0.4380, 0.0000)  1 H 1.09
H (0.4380, 0.9380, 0.0000)  1 H 1.09
H (0.5620, 0.0620, 0.0000)  1 H 1.09
H (0.9380, 0.5620, 0.0000)  1 H 1.09
Ir (0.1551, 0.6551, 0.5000)  4 H 2.09
Ir (0.3449, 0.1551, 0.5000)  4 H 2.09
Ir (0.6551, 0.8449, 0.5000)  4 H 2.09
Ir (0.8449, 0.3449, 0.5000)  4 H 2.09